1.
Crystalline Ba2LiZnAu2 at its relaxed geometry. Source: Alexandria, functional PBE.

Results
* Fermi-level density of states: 8.26 states/eV per cell
* magnetization: 0.00 μB/atom
* formation enthalpy at 0 K: -512 meV/atom
* E: -2.78 eV/atom
* space-group type: Ibam

a = 6.5186 Å, b = 6.7224 Å, c = 9.1339 Å
α = 111.59°, β = 110.91°, γ = 90.00°
Positions (direct):
Ba: 0.0880 0.3370 0.6740
Ba: 0.9120 0.6630 0.3260
Li: 0.5000 0.2500 0.0000
Au: 0.8511 0.0968 0.1935
Zn: 0.0000 0.7500 0.0000
Au: 0.1489 0.9032 0.8065
Au: 0.3424 0.5968 0.1935
Zn: 0.0000 0.2500 0.0000
Ba: 0.4140 0.1630 0.3260
Li: 0.5000 0.7500 0.0000
Ba: 0.5860 0.8370 0.6740
Au: 0.6576 0.4032 0.8065

=====

2.
Crystalline Ac3YCr2N6 at its relaxed geometry. Source: Alexandria, functional PBE.

Results
* ΔE_f (raw): -11.68 eV per formula unit
* Fermi-level density of states: 6.27 states/eV per cell
* magnetization: 0.07 μB/atom
* E: -8.31 eV/atom
* space-group type: P-3m1

a = 5.9596 Å, b = 5.9596 Å, c = 6.9792 Å
α = 90.00°, β = 90.00°, γ = 120.00°
Each line ends with the local moment (μB).
Positions (direct):
Cr: 0.3333 0.6667 0.2128  0.37
N: 0.8267 0.1733 0.7103  -0.01
N: 0.1733 0.8267 0.2897  -0.01
N: 0.6534 0.8267 0.2897  -0.01
Cr: 0.6667 0.3333 0.7872  0.37
Ac: 0.0000 0.0000 0.0000  0.01
N: 0.3466 0.1733 0.7103  -0.01
Ac: 0.6667 0.3333 0.3147  0.01
Y: 0.0000 0.0000 0.5000  0.05
Ac: 0.3333 0.6667 0.6853  0.01
N: 0.8267 0.6534 0.7103  -0.01
N: 0.1733 0.3466 0.2897  -0.01

=====

3.
Crystalline SrMoSe2Br at its relaxed geometry. Source: Alexandria, functional PBE.

Results
* ΔE_f (raw): 2.37 eV per formula unit
* Fermi-level density of states: 3.67 states/eV per cell
* magnetization: 0.60 μB/atom
* E: -3.76 eV/atom
* space-group type: P4/mmm

a = 5.8405 Å, b = 5.8405 Å, c = 5.6602 Å
α = 90.00°, β = 90.00°, γ = 90.00°
Each line ends with the local moment (μB).
Positions (direct):
Mo: 0.5000 0.5000 0.5000  3.92
Br: 0.0000 0.0000 0.5000  -0.04
Se: 0.5000 0.0000 0.0000  -0.52
Sr: 0.0000 0.0000 0.0000  0.00
Se: 0.0000 0.5000 0.0000  -0.52

=====

4.
Crystalline KSe at its relaxed geometry. Source: Alexandria, functional PBE.

Results
* ΔE_f (raw): -1.70 eV per formula unit
* Fermi-level density of states: 3.37 states/eV per cell
* magnetization: 0.17 μB/atom
* E: -3.14 eV/atom
* space-group type: Cm

a = 5.3570 Å, b = 5.3570 Å, c = 9.0729 Å
α = 72.00°, β = 72.00°, γ = 60.14°
Each line ends with the local moment (μB).
Positions (direct):
K: 0.7709 0.7709 0.0466  0.00
Se: 0.9678 0.9678 0.5299  0.22
Se: 0.0274 0.0274 0.2199  0.17
K: 0.3389 0.3389 0.4054  0.00
Se: 0.1665 0.1665 0.9094  0.21
K: 0.5620 0.5620 0.7221  0.00

=====

5.
Crystalline SrSnB2Te at its relaxed geometry. Source: Alexandria, functional PBE.

Results
* ΔE_f (raw): 9.81 eV per formula unit
* Fermi-level density of states: 4.88 states/eV per cell
* magnetization: 0.00 μB/atom
* E: -2.47 eV/atom
* space-group type: P4/mmm

a = 5.0036 Å, b = 6.3601 Å, c = 5.0036 Å
α = 90.00°, β = 90.00°, γ = 90.00°
Positions (direct):
Te: 0.5000 0.5000 0.5000
B: 0.0000 0.0000 0.5000
B: 0.5000 0.0000 0.0000
Sn: 0.0000 0.5000 0.0000
Sr: 0.0000 0.0000 0.0000

=====

6.
Crystalline ErMg2Hg6 at its relaxed geometry. Source: Alexandria, functional PBE.

Results
* Fermi-level density of states: 7.57 states/eV per cell
* magnetization: 0.00 μB/atom
* formation enthalpy at 0 K: -212 meV/atom
* E: -1.27 eV/atom
* space-group type: C2/c

a = 5.4244 Å, b = 8.9632 Å, c = 8.9632 Å
α = 76.92°, β = 82.42°, γ = 82.42°
Positions (direct):
Hg: 0.8009 0.0077 0.7591
Er: 0.7500 0.8706 0.1294
Mg: 0.5893 0.4642 0.2138
Hg: 0.0283 0.5680 0.3209
Hg: 0.1991 0.9923 0.2409
Hg: 0.3464 0.9006 0.6438
Er: 0.2500 0.1294 0.8706
Hg: 0.8464 0.6438 0.9006
Hg: 0.9717 0.4320 0.6791
Hg: 0.3009 0.7591 0.0077
Mg: 0.0893 0.2138 0.4642
Hg: 0.5283 0.3209 0.5680
Hg: 0.1536 0.3562 0.0994
Mg: 0.9107 0.7862 0.5358
Hg: 0.6991 0.2409 0.9923
Hg: 0.4717 0.6791 0.4320
Hg: 0.6536 0.0994 0.3562
Mg: 0.4107 0.5358 0.7862

=====

7.
Crystalline Na2Sr5Au2 at its relaxed geometry. Source: Alexandria, functional PBE.

Results
* Fermi-level density of states: 11.36 states/eV per cell
* magnetization: 0.00 μB/atom
* formation enthalpy at 0 K: -351 meV/atom
* E: -2.31 eV/atom
* space-group type: Cmce

a = 8.5001 Å, b = 8.5182 Å, c = 10.8850 Å
α = 90.00°, β = 67.02°, γ = 90.00°
Positions (direct):
Au: 0.1293 0.3713 0.0000
Au: 0.3707 0.8713 0.0000
Sr: 0.7784 0.8294 0.7831
Na: 0.2733 0.5000 0.4534
Sr: 0.7216 0.3294 0.2169
Na: 0.7733 0.0000 0.4534
Sr: 0.5616 0.8294 0.2169
Au: 0.6293 0.1287 0.0000
Sr: 0.4384 0.1706 0.7831
Sr: 0.0000 0.0000 0.0000
Na: 0.7267 0.5000 0.5466
Sr: 0.2216 0.1706 0.2169
Sr: 0.5000 0.5000 0.0000
Au: 0.8707 0.6287 0.0000
Sr: 0.2784 0.6706 0.7831
Na: 0.2267 0.0000 0.5466
Sr: 0.9384 0.3294 0.7831
Sr: 0.0616 0.6706 0.2169

=====

8.
Crystalline KUSi2S8 at its relaxed geometry. Source: Alexandria, functional PBE.

Results
* ΔE_f (raw): -8.45 eV per formula unit
* Fermi-level density of states: 4.43 states/eV per cell
* magnetization: 0.09 μB/atom
* E: -5.39 eV/atom
* space-group type: R-3

a = 6.2302 Å, b = 6.2302 Å, c = 9.8906 Å
α = 71.64°, β = 71.64°, γ = 60.00°
Each line ends with the local moment (μB).
Positions (direct):
S: 0.8209 0.8209 0.5373  0.26
S: 0.7195 0.0483 0.8385  0.02
S: 0.3937 0.7195 0.8385  0.02
Si: 0.2543 0.2543 0.2370  -0.01
K: 0.5000 0.5000 0.5000  0.00
S: 0.1791 0.1791 0.4627  0.26
S: 0.2805 0.9517 0.1615  0.02
S: 0.6063 0.2805 0.1615  0.02
U: 0.0000 0.0000 0.0000  -0.02
S: 0.0483 0.3937 0.8385  0.02
Si: 0.7457 0.7457 0.7630  -0.01
S: 0.9517 0.6063 0.1615  0.02

=====

Question: What is the E in the fifth record?
Answer: -2.47 eV/atom